Na14In2Se9: relaxed, GGA-PBE.

## Properties
size of the total moment = 0.00 μB per cell
space group = No. 147
DOS at the Fermi energy = 0.42 states/eV/atom
crystal system = trigonal
formation energy (no corrections) = -938 meV/atom

a = 8.464 Å, b = 8.464 Å, c = 11.791 Å
α = 90.00°, β = 90.00°, γ = 120.00°
Atoms (fractional coordinates):
Se1 0.000 0.000 0.000
Se2 0.333 0.667 0.017
Se3 0.964 0.658 0.661
Se4 0.694 0.036 0.661
Se5 0.342 0.306 0.661
Se6 0.036 0.342 0.339
Se7 0.658 0.694 0.339
Se8 0.306 0.964 0.339
Se9 0.667 0.333 0.983
Na1 0.000 0.000 0.748
Na2 0.044 0.368 0.592
Na3 0.652 0.977 0.909
Na4 0.368 0.324 0.408
Na5 0.000 0.000 0.252
Na6 0.023 0.675 0.909
Na7 0.325 0.348 0.909
Na8 0.348 0.023 0.091
Na9 0.675 0.652 0.091
Na10 0.324 0.956 0.592
Na11 0.977 0.325 0.091
Na12 0.632 0.676 0.592
Na13 0.676 0.044 0.408
Na14 0.956 0.632 0.408
In1 0.667 0.333 0.744
In2 0.333 0.667 0.256